Entry 1:
# GGA-PBEsol BaMg3, relaxed
data_BaMg3
_chemical_formula_sum 'Ba1 Mg3'
_cell_length_a 3.449
_cell_length_b 5.262
_cell_length_c 6.778
_cell_angle_alpha 90.00
_cell_angle_beta 90.00
_cell_angle_gamma 90.00
_space_group_name_H-M_alt 'P m m 2'
_space_group_IT_number 25
loop_
_space_group_symop_operation_xyz
'x,y,z'
'-x,-y,z'
'-x,y,z'
'x,-y,z'
loop_
_atom_site_label
_atom_site_fract_x
_atom_site_fract_y
_atom_site_fract_z
_atom_site_occupancy
Ba1 0.000 0.000 0.000 1
Mg1 0.000 0.500 0.361 1
Mg2 0.500 0.000 0.499 1
Mg3 0.500 0.500 0.747 1
# **ΔE_f**: 84 meV/atom


Entry 2:
# GGA-PBEsol Ba4Mg3, relaxed
data_Ba4Mg3
_chemical_formula_sum 'Ba4 Mg3'
_cell_length_a 6.7364
_cell_length_b 6.7364
_cell_length_c 7.2546
_cell_angle_alpha 90.00
_cell_angle_beta 90.00
_cell_angle_gamma 120.00
_space_group_name_H-M_alt 'P 6/m m m'
_space_group_IT_number 191
_space_group_name_Hall '-P 6 2'
loop_
_atom_site_label
_atom_site_fract_x
_atom_site_fract_y
_atom_site_fract_z
_atom_site_occupancy
Ba1 0.0000 0.0000 0.2424 1
Ba2 0.3333 0.6667 0.5000 1
Mg1 0.0000 0.5000 0.0000 1
# **ΔE_f**: 25 meV/atom
# **Offset from the most stable computed form**: 38.3 meV/atom